Entry i
ScSb2W | PBE | optimized geometry

Values from the calculation:
* space group: Pmmm (47)
* magnetization: 0.0 μB per formula unit
* volume: 20.81 Å³/atom

Cell lengths 3.7543, 4.2739, 5.1881 Å; angles 90.00, 90.00, 90.00 degrees
With the nearest neighbours (Å) after each atom.
Sites, in units of the cell vectors:
Sc1 0.0000 0.0000 0.0000  4 Sb 2.84
Sb1 0.0000 0.5000 0.5000  4 W 2.84
Sb2 0.5000 0.5000 0.0000  4 Sc 2.84
W1 0.5000 0.0000 0.5000  4 Sb 2.84



Entry ii
ScSb2W | PBE | optimized geometry

Values from the calculation:
* space group: I-42d (122)
* magnetization: 2.0 μB per formula unit
* volume: 32.59 Å³/atom

Cell lengths 7.9631, 7.9631, 7.9631 Å; angles 133.55, 133.55, 67.79 degrees
With the nearest neighbours (Å) after each atom.
Sites, in units of the cell vectors:
Sc1 0.0000 0.0000 0.0000  4 Sb 2.88
Sc2 0.7500 0.2500 0.5000  4 Sb 2.88
Sb1 0.1561 0.6250 0.0311  2 W 2.66, 2 Sc 2.88
Sb2 0.3750 0.4061 0.5311  2 W 2.66, 2 Sc 2.88
Sb3 0.5939 0.1250 0.9689  2 W 2.66, 2 Sc 2.88
Sb4 0.8750 0.8439 0.4689  2 W 2.66, 2 Sc 2.88
W1 0.2500 0.7500 0.5000  4 Sb 2.66
W2 0.5000 0.5000 0.0000  4 Sb 2.66



Entry iii
ScSb2W | PBE | optimized geometry

Values from the calculation:
* space group: Amm2 (38)
* magnetization: 0.0 μB per formula unit
* volume: 22.24 Å³/atom

Cell lengths 5.0005, 5.3083, 5.3083 Å; angles 39.14, 90.00, 90.00 degrees
With the nearest neighbours (Å) after each atom.
Sites, in units of the cell vectors:
Sc1 0.0000 0.0000 0.0000  3 Sb 2.78-2.85
Sb1 0.0000 0.7224 0.7224  2 W 2.74, 3 Sc 2.78-2.85
Sb2 0.5000 0.3361 0.3361  3 W 2.73-2.88
W1 0.5000 0.6091 0.6091  5 Sb 2.73-2.88



Entry iv
ScSb2W | PBE | optimized geometry

Values from the calculation:
* space group: P4mm (99)
* magnetization: 0.0 μB per formula unit
* volume: 21.98 Å³/atom

Cell lengths 3.5817, 3.5817, 6.8525 Å; angles 90.00, 90.00, 90.00 degrees
With the nearest neighbours (Å) after each atom.
Sites, in units of the cell vectors:
Sc1 0.0000 0.0000 0.0000  5 Sb 2.87-2.96, 4 W 3.02
Sb1 0.0000 0.0000 0.4324  4 W 2.85, 1 Sc 2.96
Sb2 0.5000 0.5000 0.8041  4 Sc 2.87, 1 W 2.99
W1 0.5000 0.5000 0.2405  5 Sb 2.85-2.99, 4 Sc 3.02



Relative energies in eV/atom: entry i 0.217; entry ii 0.655; entry iii 0.135; entry iv 0.000



Entry i
ScSb2W | PBE | optimized geometry

Values from the calculation:
* space group: Fm-3m (225)
* magnetization: 0.0 μB per formula unit
* volume: 20.11 Å³/atom

Cell lengths 4.8457, 4.8457, 4.8457 Å; angles 60.00, 60.00, 60.00 degrees
With the nearest neighbours (Å) after each atom.
Sites, in units of the cell vectors:
Sc1 0.0000 0.0000 0.0000  8 Sb 2.97
Sb1 0.2500 0.2500 0.2500  4 W 2.97, 4 Sc 2.97
Sb2 0.7500 0.7500 0.7500  4 Sc 2.97, 4 W 2.97
W1 0.5000 0.5000 0.5000  8 Sb 2.97



Entry ii
ScSb2W | PBE | optimized geometry

Values from the calculation:
* space group: Cm (8)
* magnetization: 0.0 μB per formula unit
* volume: 21.10 Å³/atom

Cell lengths 5.3714, 5.3714, 4.7706 Å; angles 100.33, 100.33, 38.65 degrees
With the nearest neighbours (Å) after each atom.
Sites, in units of the cell vectors:
Sc1 0.0000 0.0000 0.0000  7 Sb 2.85-3.00, 2 W 3.05-3.18
Sb1 0.2685 0.2685 0.8987  3 Sc 2.85-2.91, 4 W 2.95-3.03
Sb2 0.5194 0.5194 0.5036  3 W 2.83-2.97, 4 Sc 2.96-3.00
W1 0.7989 0.7989 0.4003  7 Sb 2.83-3.03, 1 Sc 3.05



Entry iii
ScSb2W | PBE | optimized geometry

Values from the calculation:
* space group: C2/m (12)
* magnetization: 0.0 μB per formula unit
* volume: 21.56 Å³/atom

Cell lengths 4.6693, 4.6693, 5.8140 Å; angles 100.37, 100.37, 43.90 degrees
With the nearest neighbours (Å) after each atom.
Sites, in units of the cell vectors:
Sc1 0.0000 0.0000 0.0000  6 Sb 2.86-3.06
Sb1 0.2382 0.2382 0.7208  3 W 2.81, 3 Sc 2.86-3.06, 2 Sb 3.14
Sb2 0.7618 0.7618 0.2792  3 W 2.81, 3 Sc 2.86-3.06, 2 Sb 3.14
W1 0.5000 0.5000 0.5000  6 Sb 2.81



Entry iv
ScSb2W | PBE | optimized geometry

Values from the calculation:
* space group: P2/m (10)
* magnetization: 0.0 μB per formula unit
* volume: 21.04 Å³/atom

Cell lengths 3.2107, 4.3679, 6.0864 Å; angles 90.00, 99.60, 90.00 degrees
With the nearest neighbours (Å) after each atom.
Sites, in units of the cell vectors:
Sc1 0.0000 0.0000 0.0000  8 Sb 2.96-3.31, 2 W 3.20, 2 Sc 3.21
Sb1 0.3116 0.5000 0.7427  2 W 2.76, 2 Sc 2.96
Sb2 0.6884 0.5000 0.2573  2 W 2.76, 2 Sc 2.96
W1 0.5000 0.0000 0.5000  4 Sb 2.76



Relative energies in eV/atom: entry i 0.000; entry ii 0.056; entry iii 0.122; entry iv 0.187



Entry i
ScSb2W | PBE | optimized geometry

Values from the calculation:
* space group: R-3m (166)
* magnetization: 0.0 μB per formula unit
* volume: 22.12 Å³/atom

Cell lengths 8.5162, 8.5162, 8.5162 Å; angles 23.82, 23.82, 23.82 degrees
With the nearest neighbours (Å) after each atom.
Sites, in units of the cell vectors:
Sc1 0.0000 0.0000 0.0000  6 Sb 3.03
Sb1 0.2426 0.2426 0.2426  3 W 2.77, 3 Sc 3.03
Sb2 0.7574 0.7574 0.7574  3 W 2.77, 3 Sc 3.03
W1 0.5000 0.5000 0.5000  6 Sb 2.77



Entry ii
ScSb2W | PBE | optimized geometry

Values from the calculation:
* space group: Imm2 (44)
* magnetization: 0.0 μB per formula unit
* volume: 20.89 Å³/atom

Cell lengths 5.7239, 5.7239, 5.7239 Å; angles 143.30, 131.05, 62.71 degrees
With the nearest neighbours (Å) after each atom.
Sites, in units of the cell vectors:
Sc1 0.0000 0.0000 0.0000  6 Sb 2.99-3.05, 2 W 3.04
Sb1 0.2514 0.7514 0.5000  4 W 2.98, 2 Sc 3.05, 4 Sb 3.21-3.26
Sb2 0.5299 0.5299 0.0000  2 W 2.80, 4 Sc 2.99
W1 0.7495 0.2495 0.5000  6 Sb 2.80-2.98, 2 Sc 3.04



Relative energies in eV/atom: entry i 0.034; entry ii 0.000



Entry i
ScSbW | PBE | optimized geometry

Values from the calculation:
* space group: I4mm (107)
* magnetization: 0.0 μB per formula unit
* volume: 19.44 Å³/atom

Cell lengths 5.2611, 5.2611, 5.2611 Å; angles 140.55, 140.55, 57.03 degrees
With the nearest neighbours (Å) after each atom.
Sites, in units of the cell vectors:
Sc1 0.0000 0.0000 0.0000  5 Sb 2.94-3.02, 5 W 2.96-3.05
Sb1 0.6816 0.6816 0.0000  4 W 2.86, 5 Sc 2.94-3.02
W1 0.3300 0.3300 0.0000  4 Sb 2.86, 5 Sc 2.96-3.05



Entry ii
ScSbW | PBE | optimized geometry

Values from the calculation:
* space group: P3m1 (156)
* magnetization: 0.0 μB per formula unit
* volume: 21.02 Å³/atom

Cell lengths 3.3306, 3.3306, 6.5636 Å; angles 90.00, 90.00, 120.00 degrees
With the nearest neighbours (Å) after each atom.
Sites, in units of the cell vectors:
Sc1 0.0000 0.0000 0.0000  3 W 2.87, 3 Sb 3.13
Sb1 0.6667 0.3333 0.6247  3 W 2.76
W1 0.3333 0.6667 0.3240  3 Sb 2.76, 3 Sc 2.87



Relative energies in eV/atom: entry i 0.000; entry ii 0.212